## TiPd7Au4 (PBE)

Data for a relaxed TiPd7Au4 crystal.

Summary:
Formation energy, eV per atom: -0.14
Distance to the lowest polymorph of the same formula, kJ/mol of formula units: 0
E_tot, eV/atom: -4.920
N(E_F), states/eV per cell: 6.34

```
data_TiPd7Au4
_symmetry_space_group_name_H-M 'P -1'
_symmetry_Int_Tables_number 2
_symmetry_space_group_name_Hall '-P 1'
_cell_length_a 4.947
_cell_length_b 5.560
_cell_length_c 7.590
_cell_angle_alpha 75.91
_cell_angle_beta 87.24
_cell_angle_gamma 86.61
loop_
_atom_site_label
_atom_site_fract_x
_atom_site_fract_y
_atom_site_fract_z
_atom_site_occupancy
Ti1 0.000 0.000 0.000 1
Pd1 0.195 0.310 0.399 1
Pd2 0.212 0.833 0.327 1
Pd3 0.240 0.560 0.053 1
Pd4 0.500 0.000 0.000 1
Au1 0.277 0.396 0.735 1
Au2 0.297 0.899 0.688 1
```


## Dy2YPt9 (PBE)

Data for a relaxed Dy2YPt9 crystal.

Summary:
Formation energy, eV per atom: -0.94
Distance to the lowest polymorph of the same formula, kJ/mol of formula units: 96
E_tot, eV/atom: -6.778
N(E_F), states/eV per cell: 30.08

```
data_Dy2YPt9
_symmetry_space_group_name_H-M 'R -3 m'
_symmetry_Int_Tables_number 166
_symmetry_space_group_name_Hall '-R 3 2"'
_cell_length_a 5.4076
_cell_length_b 5.4076
_cell_length_c 26.5587
_cell_angle_alpha 90.00
_cell_angle_beta 90.00
_cell_angle_gamma 120.00
loop_
_atom_site_label
_atom_site_fract_x
_atom_site_fract_y
_atom_site_fract_z
_atom_site_occupancy
Dy1 0.0000 0.0000 0.1391 1
Y1 0.0000 0.0000 0.0000 1
Pt1 0.0000 0.0000 0.3333 1
Pt2 0.0000 0.0000 0.5000 1
Pt3 0.0047 0.5024 0.9146 1
```


## CaNb2OsRh (PBE)

Data for a relaxed CaNb2OsRh crystal.

Summary:
Formation energy, eV per atom: 0.74
E_tot, eV/atom: -7.406
N(E_F), states/eV per cell: 6.75

```
data_CaNb2OsRh
_symmetry_space_group_name_H-M 'P 4/m m m'
_symmetry_Int_Tables_number 123
_symmetry_space_group_name_Hall '-P 4 2'
_cell_length_a 4.852
_cell_length_b 4.852
_cell_length_c 4.979
_cell_angle_alpha 90.00
_cell_angle_beta 90.00
_cell_angle_gamma 90.00
loop_
_atom_site_label
_atom_site_fract_x
_atom_site_fract_y
_atom_site_fract_z
_atom_site_occupancy
Ca1 0.000 0.000 0.000 1
Nb1 0.000 0.500 0.500 1
Os1 0.500 0.500 0.500 1
Rh1 0.500 0.500 0.000 1
```